(1)
# PBE PbAuSe4, optimized geometry
# theoretical density: 8.55 g/cm³
# total magnetic moment: 0.00 μB/cell
# energy relative to the elements, uncorrected: 397.6 meV per atom
data_PbAuSe4
_chemical_formula_sum 'Pb4 Au4 Se16'
_cell_length_a 8.2394
_cell_length_b 8.2394
_cell_length_c 8.2394
_cell_angle_alpha 90.00
_cell_angle_beta 90.00
_cell_angle_gamma 90.00
_symmetry_space_group_name_H-M 'F -4 3 m'
_symmetry_Int_Tables_number 216
_symmetry_space_group_name_Hall 'F -4 2 3'
loop_
_atom_site_label
_atom_site_type_symbol
_atom_site_fract_x
_atom_site_fract_y
_atom_site_fract_z
_atom_site_occupancy
Pb1 Pb 0.0000 0.0000 0.0000 1
Au1 Au 0.2500 0.2500 0.2500 1
Se1 Se 0.1241 0.1241 0.6241 1

---

(2)
# PBE ThZnNi4Ge2, optimized geometry
# DFT formation energy: -0.4183 eV per atom
# theoretical density: 9.39 g/cm³
# total magnetic moment: 0.00 μB/cell
data_ThZnNi4Ge2
_chemical_formula_sum 'Th3 Zn3 Ni12 Ge6'
_cell_length_a 4.0741
_cell_length_b 4.0741
_cell_length_c 25.0176
_cell_angle_alpha 90.00
_cell_angle_beta 90.00
_cell_angle_gamma 120.00
_symmetry_space_group_name_H-M 'R -3 m'
_symmetry_Int_Tables_number 166
_symmetry_space_group_name_Hall '-R 3 2"'
loop_
_atom_site_label
_atom_site_type_symbol
_atom_site_fract_x
_atom_site_fract_y
_atom_site_fract_z
_atom_site_occupancy
Th1 Th 0.0000 0.0000 0.0000 1
Zn1 Zn 0.0000 0.0000 0.5000 1
Ni1 Ni 0.0000 0.0000 0.1340 1
Ni2 Ni 0.0000 0.0000 0.4045 1
Ge1 Ge 0.0000 0.0000 0.2408 1

---

(3)
# PBE Ca2MnB3Pt12, optimized geometry
# DFT formation energy: -0.2961 eV per atom
# theoretical density: 13.26 g/cm³
# total magnetic moment: 11.84 μB/cell
data_Ca2MnB3Pt12
_chemical_formula_sum 'Ca6 Mn3 B9 Pt36'
_cell_length_a 7.9730
_cell_length_b 7.9730
_cell_length_c 17.1144
_cell_angle_alpha 90.00
_cell_angle_beta 90.00
_cell_angle_gamma 120.00
_symmetry_space_group_name_H-M 'R -3 m'
_symmetry_Int_Tables_number 166
_symmetry_space_group_name_Hall '-R 3 2"'
loop_
_atom_site_label
_atom_site_type_symbol
_atom_site_fract_x
_atom_site_fract_y
_atom_site_fract_z
_atom_site_occupancy
Ca1 Ca 0.0000 0.0000 0.1004 1
Mn1 Mn 0.0000 0.0000 0.5000 1
B1 B 0.0000 0.5000 0.0000 1
Pt1 Pt 0.0040 0.5020 0.8772 1
Pt2 Pt 0.0604 0.5302 0.3532 1

---

(4)
# PBE YCd4Re, optimized geometry
# DFT formation energy: 0.3036 eV per atom
# theoretical density: 9.72 g/cm³
# total magnetic moment: 0.00 μB/cell
data_YCd4Re
_chemical_formula_sum 'Y4 Cd16 Re4'
_cell_length_a 7.9109
_cell_length_b 7.9109
_cell_length_c 7.9109
_cell_angle_alpha 90.00
_cell_angle_beta 90.00
_cell_angle_gamma 90.00
_symmetry_space_group_name_H-M 'F -4 3 m'
_symmetry_Int_Tables_number 216
_symmetry_space_group_name_Hall 'F -4 2 3'
loop_
_atom_site_label
_atom_site_type_symbol
_atom_site_fract_x
_atom_site_fract_y
_atom_site_fract_z
_atom_site_occupancy
Y1 Y 0.0000 0.0000 0.0000 1
Cd1 Cd 0.1242 0.1242 0.6242 1
Re1 Re 0.2500 0.2500 0.2500 1

---

Which formula does entry 2 have? ThZnNi4Ge2

---

What is the theoretical density in the fourth record? 9.72 g/cm³

---

Copy entry 3 word for word.
# PBE Ca2MnB3Pt12, optimized geometry
# DFT formation energy: -0.2961 eV per atom
# theoretical density: 13.26 g/cm³
# total magnetic moment: 11.84 μB/cell
data_Ca2MnB3Pt12
_chemical_formula_sum 'Ca6 Mn3 B9 Pt36'
_cell_length_a 7.9730
_cell_length_b 7.9730
_cell_length_c 17.1144
_cell_angle_alpha 90.00
_cell_angle_beta 90.00
_cell_angle_gamma 120.00
_symmetry_space_group_name_H-M 'R -3 m'
_symmetry_Int_Tables_number 166
_symmetry_space_group_name_Hall '-R 3 2"'
loop_
_atom_site_label
_atom_site_type_symbol
_atom_site_fract_x
_atom_site_fract_y
_atom_site_fract_z
_atom_site_occupancy
Ca1 Ca 0.0000 0.0000 0.1004 1
Mn1 Mn 0.0000 0.0000 0.5000 1
B1 B 0.0000 0.5000 0.0000 1
Pt1 Pt 0.0040 0.5020 0.8772 1
Pt2 Pt 0.0604 0.5302 0.3532 1